# 1
RbVMo2 | PBE-GGA | optimized geometry

Cell lengths 4.979, 4.979, 17.012 Å; angles 90.00, 90.00, 90.00 degrees
Element x y z (fractional)
Rb 0.000 0.000 0.000
Rb 0.000 0.500 0.250
Rb 0.500 0.000 0.750
Rb 0.500 0.500 0.500
V 0.000 0.000 0.500
V 0.000 0.500 0.750
V 0.500 0.000 0.250
V 0.500 0.500 0.000
Mo 0.060 0.250 0.625
Mo 0.250 0.560 0.875
Mo 0.250 0.940 0.375
Mo 0.440 0.250 0.125
Mo 0.560 0.750 0.125
Mo 0.750 0.060 0.375
Mo 0.750 0.440 0.875
Mo 0.940 0.750 0.625

- formation energy (meV per atom) = 1852
- calculated total energy (eV per atom) = -6.085
- symmetry = I-42d (122)



# 2
Ac3Ru2 | PBE-GGA | optimized geometry

Cell lengths 7.855, 7.855, 7.855 Å; angles 56.79, 56.79, 56.79 degrees
Element x y z (fractional)
Ac 0.082 0.750 0.418
Ac 0.250 0.582 0.918
Ac 0.418 0.082 0.750
Ac 0.582 0.918 0.250
Ac 0.750 0.418 0.082
Ac 0.918 0.250 0.582
Ru 0.169 0.169 0.169
Ru 0.331 0.331 0.331
Ru 0.669 0.669 0.669
Ru 0.831 0.831 0.831

- formation energy (meV per atom) = -88
- calculated total energy (eV per atom) = -6.264
- symmetry = R-3c (167)



# 3
IrRuS2 | PBE-GGA | optimized geometry

Cell lengths 5.231, 5.231, 10.556 Å; angles 90.00, 90.00, 90.00 degrees
Element x y z (fractional)
Ir 0.000 0.000 0.000
Ir 0.000 0.500 0.250
Ir 0.500 0.000 0.750
Ir 0.500 0.500 0.500
Ru 0.000 0.000 0.500
Ru 0.000 0.500 0.750
Ru 0.500 0.000 0.250
Ru 0.500 0.500 0.000
S 0.246 0.250 0.625
S 0.250 0.746 0.875
S 0.250 0.754 0.375
S 0.254 0.250 0.125
S 0.746 0.750 0.125
S 0.750 0.246 0.375
S 0.750 0.254 0.875
S 0.754 0.750 0.625

- calculated total energy (eV per atom) = -6.626
- formation energy without anion corrections (eV/f.u.) = -0.113
- symmetry = I-42d (122)